## Ho2TmP (PBE)

Data for a relaxed Ho2TmP crystal.

a = 3.7049 Å, b = 3.7049 Å, c = 10.2505 Å
α = 79.59°, β = 79.59°, γ = 60.00°
Last column: magnetic moment on the atom in μB.
Fractional positions:
P: 0.5000 0.5000 0.5000  0.00
Tm: 0.0000 0.0000 0.0000  0.29
Ho: 0.1126 0.1126 0.6620  0.07
Ho: 0.8874 0.8874 0.3379  0.07

Values from the calculation:
The value obtained for the energy relative to the elements is -184 kJ/mol of formula units. As for the volume: 119.2 Å³ per cell. Its total energy is -5.235 eV/atom. Its crystal system is trigonal.

## HoTm2P (PBE)

Data for a relaxed HoTm2P crystal.

a = 3.6733 Å, b = 3.6733 Å, c = 10.2637 Å
α = 79.69°, β = 79.69°, γ = 60.00°
Last column: magnetic moment on the atom in μB.
Fractional positions:
P: 0.5000 0.5000 0.5000  0.00
Tm: 0.1130 0.1130 0.6610  0.10
Tm: 0.8870 0.8870 0.3390  0.10
Ho: 0.0000 0.0000 0.0000  0.42

Values from the calculation:
The value obtained for the energy relative to the elements is -184 kJ/mol of formula units. As for the volume: 117.3 Å³ per cell. Its total energy is -5.210 eV/atom. Its crystal system is trigonal.

## Ho5Tm3P8 (PBE)

Data for a relaxed Ho5Tm3P8 crystal.

a = 7.9436 Å, b = 7.9436 Å, c = 7.9433 Å
α = 60.00°, β = 60.00°, γ = 60.00°
Fractional positions:
Ho: 0.5000 0.0000 0.0000
Ho: 0.5000 0.5000 0.0000
Ho: 0.0000 0.0000 0.0000
Ho: 0.0000 0.5000 0.0000
Ho: 0.5000 0.5000 0.5000
Tm: 0.5000 0.0000 0.5000
Tm: 0.0000 0.0000 0.5000
Tm: 0.0000 0.5000 0.5000
P: 0.2500 0.2500 0.7484
P: 0.2500 0.7516 0.7484
P: 0.7516 0.2500 0.7484
P: 0.7508 0.7508 0.7475
P: 0.7500 0.7500 0.2516
P: 0.7500 0.2484 0.2516
P: 0.2484 0.7500 0.2516
P: 0.2492 0.2492 0.2525

Values from the calculation:
The value obtained for the energy relative to the elements is -2487 kJ/mol of formula units. As for the volume: 354.4 Å³ per cell. Its total energy is -6.585 eV/atom. Its crystal system is trigonal.

## HoTm2P3 (PBE)

Data for a relaxed HoTm2P3 crystal.

a = 3.9645 Å, b = 5.6004 Å, c = 6.8609 Å
α = 114.09°, β = 106.81°, γ = 90.00°
Fractional positions:
Ho: 0.5000 0.0000 0.0000
Tm: 0.1666 0.6665 0.3330
Tm: 0.8334 0.3335 0.6670
P: 0.5000 0.5000 0.0000
P: 0.1680 0.1680 0.3359
P: 0.8320 0.8320 0.6641

Values from the calculation:
The value obtained for the energy relative to the elements is -932 kJ/mol of formula units. As for the volume: 131.9 Å³ per cell. Its total energy is -6.568 eV/atom. Its crystal system is orthorhombic.